No. 1
The following is a DFT calculation (GGA-PBEsol) of crystalline Cs2MgBeSn at its relaxed geometry.

Cell: 4.4915 6.9388 6.9388 Å, 90.00 90.00 90.00°
Positions (direct):
Cs (0.0000, 0.0000, 0.5000)
Cs (0.0000, 0.5000, 0.0000)
Be (0.0000, 0.0000, 0.0000)
Mg (0.5000, 0.5000, 0.5000)
Sn (0.5000, 0.0000, 0.0000)

Summary:
E_form (eV per atom): 0.30
DOS(E_F) (states/eV/f.u.): 1.61

No. 2
The following is a DFT calculation (GGA-PBEsol) of crystalline BeTlBr2 at its relaxed geometry.

Cell: 3.3267 6.0238 6.0694 Å, 119.75 105.91 90.00°
Positions (direct):
Be (0.0000, 0.5000, 0.0000)
Tl (0.5000, 0.0000, 0.0000)
Br (0.6599, 0.6599, 0.3197)
Br (0.3401, 0.3401, 0.6803)

Summary:
DOS(E_F) (states/eV/f.u.): 1.26
Formation energy (no corrections) (eV/atom): -0.349
Offset from the most stable computed form (meV per atom): 0.0

No. 3
The following is a DFT calculation (GGA-PBEsol) of crystalline MgAlSb2 at its relaxed geometry.

Cell: 6.5291 6.5291 7.4749 Å, 115.90 115.90 90.00°
Positions (direct):
Sb (0.3550, 0.8750, 0.2500)
Sb (0.8950, 0.3750, 0.2500)
Sb (0.1250, 0.1050, 0.7500)
Sb (0.6250, 0.6450, 0.7500)
Mg (0.7500, 0.2500, 0.5000)
Mg (0.5000, 0.5000, 0.0000)
Al (0.2500, 0.7500, 0.5000)
Al (0.0000, 0.0000, 0.0000)

Summary:
DOS(E_F) (states/eV/f.u.): 3.02
Formation energy (no corrections) (eV/atom): -0.006
Offset from the most stable computed form (meV per atom): 88.0

No. 4
The following is a DFT calculation (GGA-PBEsol) of crystalline Mg2C at its relaxed geometry.

Cell: 3.1165 5.9564 6.0028 Å, 116.72 90.00 105.17°
Positions (direct):
Mg (0.8732, 0.7463, 0.7266)
Mg (0.1268, 0.2537, 0.2734)
Mg (0.8602, 0.7204, 0.2273)
Mg (0.1398, 0.2796, 0.7727)
C (0.4664, 0.9328, 0.5684)
C (0.5336, 0.0672, 0.4316)

Summary:
E_form (eV per atom): 0.33
DOS(E_F) (states/eV/f.u.): 0.96
Offset from the most stable computed form (meV per atom): 11.1

No. 5
The following is a DFT calculation (GGA-PBEsol) of crystalline Rb3SbS at its relaxed geometry.

Cell: 6.2435 6.2435 6.2435 Å, 90.00 90.00 90.00°
Each line ends with the local moment (μB).
Positions (direct):
Sb (0.5000, 0.5000, 0.5000)  0.60
S (0.0000, 0.0000, 0.0000)  0.11
Rb (0.0000, 0.5000, 0.0000)  0.01
Rb (0.0000, 0.0000, 0.5000)  0.01
Rb (0.5000, 0.0000, 0.0000)  0.01

Summary:
DOS(E_F) (states/eV/f.u.): 7.29
Formation energy (no corrections) (eV/atom): -0.357

No. 6
The following is a DFT calculation (GGA-PBEsol) of crystalline CaCu2Br at its relaxed geometry.

Cell: 3.4347 3.4347 6.8369 Å, 90.00 90.00 90.00°
Positions (direct):
Br (0.0000, 0.0000, 0.5273)
Ca (0.5000, 0.5000, 0.7602)
Cu (0.0000, 0.0000, 0.0743)
Cu (0.5000, 0.5000, 0.1382)

Summary:
DOS(E_F) (states/eV/f.u.): 1.07
Formation energy (no corrections) (eV/atom): -0.344
Offset from the most stable computed form (meV per atom): 0.0

No. 7
The following is a DFT calculation (GGA-PBEsol) of crystalline MnCuP2 at its relaxed geometry.

Cell: 3.2113 3.2114 4.6700 Å, 90.00 90.00 90.00°
Each line ends with the local moment (μB).
Positions (direct):
Cu (0.0000, 0.0000, 0.4587)  0.01
Mn (0.5000, 0.5000, 0.7930)  1.71
P (0.0000, 0.0000, 0.9524)  -0.04
P (0.5000, 0.5000, 0.2959)  -0.01

Summary:
E_form (eV per atom): -0.09
DOS(E_F) (states/eV/f.u.): 2.18

No. 8
The following is a DFT calculation (GGA-PBEsol) of crystalline BeRe3 at its relaxed geometry.

Cell: 3.7764 3.7764 3.7764 Å, 90.00 90.00 90.00°
Positions (direct):
Re (0.0000, 0.5000, 0.5000)
Re (0.5000, 0.0000, 0.5000)
Re (0.5000, 0.5000, 0.0000)
Be (0.0000, 0.0000, 0.0000)

Summary:
E_form (eV per atom): 0.33
DOS(E_F) (states/eV/f.u.): 4.17
Offset from the most stable computed form (meV per atom): 164.6

No. 9
The following is a DFT calculation (GGA-PBEsol) of crystalline NaZnAs at its relaxed geometry.

Cell: 4.1202 4.1202 7.0431 Å, 90.00 90.00 90.00°
Positions (direct):
Na (0.0000, 0.5000, 0.6488)
Na (0.5000, 0.0000, 0.3512)
As (0.5000, 0.0000, 0.7822)
As (0.0000, 0.5000, 0.2178)
Zn (0.5000, 0.5000, 0.0000)
Zn (0.0000, 0.0000, 0.0000)

Summary:
E_form (eV per atom): -0.40
DOS(E_F) (states/eV/f.u.): 0.01

No. 10
The following is a DFT calculation (GGA-PBEsol) of crystalline EuY3 at its relaxed geometry.

Cell: 5.0176 5.0176 6.1435 Å, 114.10 114.10 90.00°
Each line ends with the local moment (μB).
Positions (direct):
Eu (0.0000, 0.0000, 0.0000)  6.81
Y (0.2500, 0.7500, 0.5000)  0.06
Y (0.7500, 0.2500, 0.5000)  0.06
Y (0.5000, 0.5000, 0.0000)  0.03

Summary:
E_form (eV per atom): 0.07
DOS(E_F) (states/eV/f.u.): 6.38

No. 11
The following is a DFT calculation (GGA-PBEsol) of crystalline Rb2LiNbF6 at its relaxed geometry.

Cell: 5.9094 5.9094 5.9094 Å, 60.00 60.00 60.00°
Each line ends with the local moment (μB).
Positions (direct):
Rb (0.2500, 0.2500, 0.2500)  0.00
Rb (0.7500, 0.7500, 0.7500)  0.00
Li (0.5000, 0.5000, 0.5000)  0.00
Nb (0.0000, 0.0000, 0.0000)  1.67
F (0.7494, 0.7494, 0.2506)  0.02
F (0.2506, 0.7494, 0.7494)  0.02
F (0.2506, 0.2506, 0.7494)  0.02
F (0.7494, 0.2506, 0.7494)  0.02
F (0.2506, 0.7494, 0.2506)  0.02
F (0.7494, 0.2506, 0.2506)  0.02

Summary:
DOS(E_F) (states/eV/f.u.): 10.30
Formation energy (no corrections) (eV/atom): -2.776

No. 12
The following is a DFT calculation (GGA-PBEsol) of crystalline CrPdF2 at its relaxed geometry.

Cell: 3.8481 3.8481 7.4270 Å, 105.01 105.01 90.00°
Each line ends with the local moment (μB).
Positions (direct):
Cr (0.7500, 0.2500, 0.5000)  3.44
Cr (0.5000, 0.5000, 0.0000)  3.44
Pd (0.2500, 0.7500, 0.5000)  0.13
Pd (0.0000, 0.0000, 0.0000)  0.13
F (0.4333, 0.8750, 0.2500)  0.02
F (0.8167, 0.3750, 0.2500)  0.02
F (0.1250, 0.1833, 0.7500)  0.02
F (0.6250, 0.5667, 0.7500)  0.02

Summary:
DOS(E_F) (states/eV/f.u.): 3.03
Formation energy (no corrections) (eV/atom): -0.777

No. 13
The following is a DFT calculation (GGA-PBEsol) of crystalline YNi3Bi at its relaxed geometry.

Cell: 4.6547 4.6547 4.6547 Å, 90.00 90.00 90.00°
Positions (direct):
Y (0.0000, 0.0000, 0.0000)
Ni (0.0000, 0.5000, 0.0000)
Ni (0.0000, 0.0000, 0.5000)
Ni (0.5000, 0.0000, 0.0000)
Bi (0.5000, 0.5000, 0.5000)

Summary:
E_form (eV per atom): 1.03
DOS(E_F) (states/eV/f.u.): 2.67

No. 14
The following is a DFT calculation (GGA-PBEsol) of crystalline MgCo4Tc at its relaxed geometry.

Cell: 4.6136 4.6136 4.6136 Å, 60.00 60.00 60.00°
Positions (direct):
Co (0.3755, 0.3755, 0.3755)
Co (0.3755, 0.3755, 0.8736)
Co (0.8736, 0.3755, 0.3755)
Co (0.3755, 0.8736, 0.3755)
Mg (0.7500, 0.7500, 0.7500)
Tc (0.0000, 0.0000, 0.0000)

Summary:
E_form (eV per atom): 0.14
DOS(E_F) (states/eV/f.u.): 9.44

No. 15
The following is a DFT calculation (GGA-PBEsol) of crystalline AlAsPdBr2 at its relaxed geometry.

Cell: 4.6883 5.2240 5.2240 Å, 90.00 90.00 90.00°
Each line ends with the local moment (μB).
Positions (direct):
As (0.5000, 0.0000, 0.0000)  0.23
Br (0.0000, 0.0000, 0.5000)  0.03
Br (0.0000, 0.5000, 0.0000)  0.03
Pd (0.0000, 0.0000, 0.0000)  0.06
Al (0.5000, 0.5000, 0.5000)  0.01

Summary:
DOS(E_F) (states/eV/f.u.): 3.85
Formation energy (no corrections) (eV/atom): 0.241
Offset from the most stable computed form (meV per atom): 0.0

No. 16
The following is a DFT calculation (GGA-PBEsol) of crystalline FeTeBr2 at its relaxed geometry.

Cell: 3.1404 3.1404 10.2022 Å, 90.00 90.00 90.00°
Each line ends with the local moment (μB).
Positions (direct):
Br (0.0000, 0.0000, 0.8443)  0.23
Br (0.0000, 0.0000, 0.1557)  0.23
Fe (0.5000, 0.5000, 0.0000)  3.36
Te (0.5000, 0.5000, 0.5000)  0.01

Summary:
DOS(E_F) (states/eV/f.u.): 2.44
Formation energy (no corrections) (eV/atom): 0.078

No. 17
The following is a DFT calculation (GGA-PBEsol) of crystalline K2Tl at its relaxed geometry.

Cell: 6.4403 7.2102 7.2102 Å, 78.49 63.47 63.47°
Positions (direct):
Tl (0.2500, 0.0000, 0.0000)
Tl (0.7500, 0.0000, 0.0000)
K (0.8326, 0.5000, 0.8348)
K (0.1674, 0.5000, 0.1652)
K (0.3326, 0.8348, 0.5000)
K (0.6674, 0.1652, 0.5000)

Summary:
E_form (eV per atom): -0.05
DOS(E_F) (states/eV/f.u.): 1.93
Offset from the most stable computed form (meV per atom): 0.0

No. 18
The following is a DFT calculation (GGA-PBEsol) of crystalline ZrVF6 at its relaxed geometry.

Cell: 5.7117 5.7117 5.7117 Å, 60.00 60.00 60.00°
Each line ends with the local moment (μB).
Positions (direct):
F (0.2499, 0.2499, 0.7501)  0.00
F (0.2499, 0.7501, 0.2499)  0.00
F (0.7501, 0.7501, 0.2499)  0.00
F (0.7501, 0.2499, 0.2499)  0.00
F (0.2499, 0.7501, 0.7501)  0.00
F (0.7501, 0.2499, 0.7501)  0.00
Zr (0.0000, 0.0000, 0.0000)  0.16
V (0.5000, 0.5000, 0.5000)  2.55

Summary:
Formation energy (no corrections) (eV/atom): -3.276

No. 19
The following is a DFT calculation (GGA-PBEsol) of crystalline Re3RuI at its relaxed geometry.

Cell: 4.6704 4.6704 4.6704 Å, 90.00 90.00 90.00°
Each line ends with the local moment (μB).
Positions (direct):
I (0.5000, 0.5000, 0.5000)  0.01
Re (0.0000, 0.5000, 0.0000)  0.22
Re (0.0000, 0.0000, 0.5000)  0.22
Re (0.5000, 0.0000, 0.0000)  0.22
Ru (0.0000, 0.0000, 0.0000)  -0.02

Summary:
DOS(E_F) (states/eV/f.u.): 7.67
Formation energy (no corrections) (eV/atom): 2.446
Offset from the most stable computed form (meV per atom): 0.0

No. 20
The following is a DFT calculation (GGA-PBEsol) of crystalline Li3Cu at its relaxed geometry.

Cell: 2.7179 2.7179 9.2132 Å, 90.00 90.00 120.00°
Positions (direct):
Cu (0.0000, 0.0000, 0.0000)
Li (0.0000, 0.0000, 0.5000)
Li (0.3333, 0.6667, 0.7744)
Li (0.3333, 0.6667, 0.2256)

Summary:
E_form (eV per atom): 0.06
DOS(E_F) (states/eV/f.u.): 1.15

No. 21
The following is a DFT calculation (GGA-PBEsol) of crystalline Li2Mg at its relaxed geometry.

Cell: 5.5128 5.5128 5.5128 Å, 107.61 107.61 113.25°
Positions (direct):
Mg (0.7500, 0.7500, 0.0000)
Mg (0.2500, 0.2500, 0.0000)
Li (0.1485, 0.6485, 0.7971)
Li (0.6485, 0.8515, 0.5000)
Li (0.3515, 0.1485, 0.5000)
Li (0.8515, 0.3515, 0.2029)

Summary:
E_form (eV per atom): 0.06
DOS(E_F) (states/eV/f.u.): 1.17

No. 22
The following is a DFT calculation (GGA-PBEsol) of crystalline Mn2SeCl at its relaxed geometry.

Cell: 3.8396 4.7626 4.7626 Å, 70.34 66.23 66.23°
Each line ends with the local moment (μB).
Positions (direct):
Mn (0.2425, 0.7575, 0.7575)  4.03
Mn (0.7575, 0.2425, 0.2425)  4.03
Se (0.0000, 0.5000, 0.5000)  0.12
Cl (0.5000, 0.0000, 0.0000)  0.12

Summary:
DOS(E_F) (states/eV/f.u.): 2.42
Formation energy (no corrections) (eV/atom): 0.059
Offset from the most stable computed form (meV per atom): 2.7

No. 23
The following is a DFT calculation (GGA-PBEsol) of crystalline ReRu2Br at its relaxed geometry.

Cell: 4.3594 4.3594 4.3594 Å, 60.00 60.00 60.00°
Positions (direct):
Re (0.2500, 0.2500, 0.2500)
Br (0.5000, 0.5000, 0.5000)
Ru (0.0000, 0.0000, 0.0000)
Ru (0.7500, 0.7500, 0.7500)

Summary:
DOS(E_F) (states/eV/f.u.): 3.18
Formation energy (no corrections) (eV/atom): 1.070
Offset from the most stable computed form (meV per atom): 602.2

No. 24
The following is a DFT calculation (GGA-PBEsol) of crystalline NaH3Pt at its relaxed geometry.

Cell: 3.5821 3.5821 3.5821 Å, 90.00 90.00 90.00°
Positions (direct):
Na (0.5000, 0.5000, 0.5000)
Pt (0.0000, 0.0000, 0.0000)
H (0.0000, 0.5000, 0.0000)
H (0.0000, 0.0000, 0.5000)
H (0.5000, 0.0000, 0.0000)

Summary:
E (Ha/atom): -0.1467
DOS(E_F) (states/eV/f.u.): 0.38

No. 25
The following is a DFT calculation (GGA-PBEsol) of crystalline ZrBe3Tc at its relaxed geometry.

Cell: 4.2668 4.2668 4.2668 Å, 90.00 90.00 90.00°
Each line ends with the local moment (μB).
Positions (direct):
Be (0.0000, 0.5000, 0.0000)  0.04
Be (0.0000, 0.0000, 0.5000)  0.04
Be (0.5000, 0.0000, 0.0000)  0.04
Tc (0.5000, 0.5000, 0.5000)  2.05
Zr (0.0000, 0.0000, 0.0000)  0.33

Summary:
E_form (eV per atom): 2.09
DOS(E_F) (states/eV/f.u.): 4.90

No. 26
The following is a DFT calculation (GGA-PBEsol) of crystalline SnSO2F at its relaxed geometry.

Cell: 4.0241 4.0241 4.1692 Å, 90.00 90.00 90.00°
Each line ends with the local moment (μB).
Positions (direct):
S (0.5000, 0.5000, 0.5000)  1.34
Sn (0.0000, 0.0000, 0.0000)  -0.02
O (0.0000, 0.5000, 0.0000)  0.28
O (0.5000, 0.0000, 0.0000)  0.28
F (0.0000, 0.0000, 0.5000)  0.06

Summary:
DOS(E_F) (states/eV/f.u.): 2.53
Formation energy (no corrections) (eV/atom): -0.585

No. 27
The following is a DFT calculation (GGA-PBEsol) of crystalline ReRu3 at its relaxed geometry.

Cell: 2.7114 4.6906 5.0627 Å, 117.60 105.53 90.00°
Positions (direct):
Re (0.0000, 0.9995, 0.0000)
Ru (0.2502, 0.9165, 0.5005)
Ru (0.5000, 0.5013, 0.0000)
Ru (0.7498, 0.4161, 0.4995)

Summary:
E_form (eV per atom): -0.05
DOS(E_F) (states/eV/f.u.): 3.18
Offset from the most stable computed form (meV per atom): 16.3

No. 28
The following is a DFT calculation (GGA-PBEsol) of crystalline Na2LiSe2 at its relaxed geometry.

Cell: 4.4068 4.4068 7.0913 Å, 108.10 108.10 90.00°
Each line ends with the local moment (μB).
Positions (direct):
Na (0.2500, 0.7500, 0.5000)  0.01
Na (0.7500, 0.2500, 0.5000)  0.01
Se (0.3906, 0.3906, 0.7812)  0.14
Se (0.6094, 0.6094, 0.2188)  0.14
Li (0.0000, 0.0000, 0.0000)  0.00

Summary:
DOS(E_F) (states/eV/f.u.): 2.25
Formation energy (no corrections) (eV/atom): -0.602